# 1
# AcTePd2 (PBE-GGA, optimized geometry)
# space group	No. 123
# N(E_F)	0.3571	states/eV/atom
# spin magnetization	0.000	μB per formula unit
# uncorrected formation energy	-543	meV per atom
# crystal system	tetragonal
data_AcTePd2
_chemical_formula_sum 'Ac1 Te1 Pd2'
_symmetry_space_group_name_H-M 'P 1'
_symmetry_Int_Tables_number 1
_cell_length_a 3.9483
_cell_length_b 3.9483
_cell_length_c 6.3175
_cell_angle_alpha 90.00
_cell_angle_beta 90.00
_cell_angle_gamma 90.00
loop_
_symmetry_equiv_pos_as_xyz
'x,y,z'
loop_
_atom_site_label
_atom_site_type_symbol
_atom_site_fract_x
_atom_site_fract_y
_atom_site_fract_z
_atom_site_occupancy
Pd1 Pd 0.0000 0.0000 0.7581 1
Pd2 Pd 0.0000 0.0000 0.2419 1
Te1 Te 0.5000 0.5000 0.0000 1
Ac1 Ac 0.5000 0.5000 0.5000 1

# 2
# AcTe2Pd (PBE-GGA, optimized geometry)
# space group	No. 123
# N(E_F)	0.7719	states/eV/atom
# spin magnetization	0.000	μB per formula unit
# uncorrected formation energy	-572	meV per atom
# crystal system	tetragonal
data_AcTe2Pd
_chemical_formula_sum 'Ac1 Te2 Pd1'
_symmetry_space_group_name_H-M 'P 1'
_symmetry_Int_Tables_number 1
_cell_length_a 4.0116
_cell_length_b 4.0116
_cell_length_c 7.1078
_cell_angle_alpha 90.00
_cell_angle_beta 90.00
_cell_angle_gamma 90.00
loop_
_symmetry_equiv_pos_as_xyz
'x,y,z'
loop_
_atom_site_label
_atom_site_type_symbol
_atom_site_fract_x
_atom_site_fract_y
_atom_site_fract_z
_atom_site_occupancy
Te1 Te 0.0000 0.0000 0.7702 1
Te2 Te 0.0000 0.0000 0.2298 1
Ac1 Ac 0.5000 0.5000 0.5000 1
Pd1 Pd 0.5000 0.5000 0.0000 1

# 3
# AcTePd (PBE-GGA, optimized geometry)
# space group	No. 131
# N(E_F)	0.3765	states/eV/atom
# spin magnetization	0.000	μB per formula unit
# uncorrected formation energy	-1047	meV per atom
# crystal system	tetragonal
data_AcTePd
_chemical_formula_sum 'Ac2 Te2 Pd2'
_symmetry_space_group_name_H-M 'P 1'
_symmetry_Int_Tables_number 1
_cell_length_a 4.9079
_cell_length_b 4.9080
_cell_length_c 7.3812
_cell_angle_alpha 90.00
_cell_angle_beta 90.00
_cell_angle_gamma 90.00
loop_
_symmetry_equiv_pos_as_xyz
'x,y,z'
loop_
_atom_site_label
_atom_site_type_symbol
_atom_site_fract_x
_atom_site_fract_y
_atom_site_fract_z
_atom_site_occupancy
Te1 Te 0.2723 0.5986 0.2364 1
Te2 Te 0.7725 0.0987 0.7365 1
Ac1 Ac 0.2725 0.5987 0.7364 1
Ac2 Ac 0.7722 0.0985 0.2365 1
Pd1 Pd 0.7725 0.5985 0.4865 1
Pd2 Pd 0.7725 0.5986 0.9864 1

# 4
# AcTe2Pd4 (PBE-GGA, optimized geometry)
# space group	No. 136
# N(E_F)	0.8852	states/eV/atom
# spin magnetization	0.000	μB per formula unit
# uncorrected formation energy	-723	meV per atom
# crystal system	tetragonal
data_AcTe2Pd4
_chemical_formula_sum 'Ac2 Te4 Pd8'
_symmetry_space_group_name_H-M 'P 1'
_symmetry_Int_Tables_number 1
_cell_length_a 4.4115
_cell_length_b 8.2117
_cell_length_c 8.2117
_cell_angle_alpha 90.00
_cell_angle_beta 90.00
_cell_angle_gamma 90.00
loop_
_symmetry_equiv_pos_as_xyz
'x,y,z'
loop_
_atom_site_label
_atom_site_type_symbol
_atom_site_fract_x
_atom_site_fract_y
_atom_site_fract_z
_atom_site_occupancy
Pd1 Pd 0.5000 0.8518 0.4036 1
Pd2 Pd 0.5000 0.4036 0.8518 1
Pd3 Pd 0.0000 0.9036 0.6482 1
Pd4 Pd 0.5000 0.1482 0.5964 1
Pd5 Pd 0.0000 0.3518 0.0964 1
Pd6 Pd 0.5000 0.5964 0.1482 1
Pd7 Pd 0.0000 0.6482 0.9036 1
Pd8 Pd 0.0000 0.0964 0.3518 1
Te1 Te 0.5000 0.7175 0.7175 1
Te2 Te 0.5000 0.2825 0.2825 1
Te3 Te 0.0000 0.7825 0.2175 1
Te4 Te 0.0000 0.2175 0.7825 1
Ac1 Ac 0.0000 0.5000 0.5000 1
Ac2 Ac 0.5000 0.0000 0.0000 1